(1)
Entry from Alexandria: an optimized crystal structure of NiRhBr (PBEsol).

Values from the calculation:
ΔE_f (raw) (eV/atom): 0.6487
Space group: F-43m, No. 216
DFT total energy (eV/cell): -14.22
Crystal system: cubic

abc: 4.157 4.157 4.157
angles: 60.00 60.00 60.00
Each line ends with the local moment (μB).
Fractional positions:
Br 0.000 0.000 0.000  0.09
Rh 0.750 0.750 0.750  0.81
Ni 0.500 0.500 0.500  0.94

(2)
Entry from Alexandria: an optimized crystal structure of MgTaHg2B (PBEsol).

Values from the calculation:
E_form (eV per atom): 1.032
Space group: P4/mmm, No. 123
DFT total energy (eV/cell): -17.26
Crystal system: tetragonal

abc: 4.420 4.485 4.485
angles: 90.00 90.00 90.00
Each line ends with the local moment (μB).
Fractional positions:
Ta 0.500 0.500 0.500  0.21
B 0.000 0.000 0.000  0.01
Hg 0.000 0.000 0.500  0.00
Hg 0.000 0.500 0.000  0.00
Mg 0.500 0.000 0.000  0.00

(3)
Entry from Alexandria: an optimized crystal structure of CaTaBr2 (PBEsol).

Values from the calculation:
ΔE_f (raw) (eV/atom): -0.1564
Space group: R-3m, No. 166
DFT total energy (eV/cell): -19.05
Crystal system: trigonal

abc: 3.357 3.357 10.001
angles: 80.34 80.34 60.00
Fractional positions:
Ta 0.000 0.000 0.000
Br 0.730 0.730 0.809
Br 0.270 0.270 0.191
Ca 0.500 0.500 0.500

(4)
Entry from Alexandria: an optimized crystal structure of ScZnCu (PBEsol).

Values from the calculation:
E_form (eV per atom): -0.242
Space group: I4mm, No. 107
DFT total energy (eV/cell): -13.25
Crystal system: tetragonal

abc: 3.141 3.141 5.218
angles: 107.51 107.51 90.00
Fractional positions:
Cu 0.983 0.983 0.966
Sc 0.663 0.663 0.326
Zn 0.354 0.354 0.708

(5)
Entry from Alexandria: an optimized crystal structure of BeReOs2 (PBEsol).

Values from the calculation:
E_form (eV per atom): 0.122
Space group: Pmm2, No. 25
DFT total energy (eV/cell): -41.27
Crystal system: orthorhombic

abc: 2.721 3.794 5.103
angles: 90.00 90.00 90.00
Fractional positions:
Be 0.500 0.500 0.760
Os 0.500 0.500 0.260
Re 0.000 0.000 0.507
Os 0.000 0.000 0.973

(6)
Entry from Alexandria: an optimized crystal structure of Er2PdPt (PBEsol).

Values from the calculation:
E_form (eV per atom): -1.088
Space group: Fm-3m, No. 225
DFT total energy (eV/cell): -27.13
Crystal system: cubic

abc: 4.825 4.825 4.825
angles: 60.00 60.00 60.00
Fractional positions:
Pd 0.000 0.000 0.000
Er 0.250 0.250 0.250
Pt 0.500 0.500 0.500
Er 0.750 0.750 0.750

(7)
Entry from Alexandria: an optimized crystal structure of AlCrAg2 (PBEsol).

Values from the calculation:
E_form (eV per atom): 0.179
Space group: I-4m2, No. 119
DFT total energy (eV/cell): -20.24
Crystal system: tetragonal

abc: 4.033 4.034 4.802
angles: 114.83 114.82 90.00
Each line ends with the local moment (μB).
Fractional positions:
Al 0.500 0.500 0.000  -0.03
Ag 0.000 0.000 0.000  0.05
Cr 0.250 0.750 0.500  3.42
Ag 0.750 0.250 0.500  0.03

(8)
Entry from Alexandria: an optimized crystal structure of TiZn2TeW (PBEsol).

Values from the calculation:
ΔE_f (raw) (eV/atom): 1.7265
Space group: P4/mmm, No. 123
DFT total energy (eV/cell): -20.19
Crystal system: tetragonal

abc: 4.862 4.862 4.969
angles: 90.00 90.00 90.00
Each line ends with the local moment (μB).
Fractional positions:
Zn 0.500 0.000 0.000  -0.01
Zn 0.000 0.500 0.000  -0.01
Te 0.000 0.000 0.000  0.02
Ti 0.500 0.500 0.500  1.20
W 0.000 0.000 0.500  -0.70

no.,DOS at the Fermi energy (states/eV/f.u.)
1,2.23
2,3.49
3,2.30
4,1.98
5,2.17
6,1.97
7,1.67
8,6.28